No. 1
Here is an optimized crystal structure of ZnCdSe2 from the Alexandria database. Energies are from PBE-GGA.

The structure belongs to space group C2/c (No. 15); the cell edges are 8.270, 8.448 and 6.570 Å and the angles 90.00°, 127.36° and 90.00°. The distinct sites, in fractional coordinates, are Zn at (0.000, 0.031, 0.250), Cd at (0.000, 0.399, 0.750) and Se at (0.229, 0.136, 0.716).

No. 2
Here is an optimized crystal structure of ZnCd4Se5 from the Alexandria database. Energies are from PBE-GGA.

The structure belongs to space group R3m (No. 160, hexagonal axes); the cell edges are 4.3112, 4.3112 and 53.0834 Å and the angles 90.00°, 90.00° and 120.00°. The distinct sites, in fractional coordinates, are Zn at (0.0000, 0.0000, 0.0000), Cd at (0.0000, 0.0000, 0.2013), Cd at (0.0000, 0.0000, 0.3978), Cd at (0.0000, 0.0000, 0.6030), Cd at (0.0000, 0.0000, 0.7995), Se at (0.0000, 0.0000, 0.0467), Se at (0.0000, 0.0000, 0.2516), Se at (0.0000, 0.0000, 0.4482), Se at (0.0000, 0.0000, 0.6535) and Se at (0.0000, 0.0000, 0.8499).

No. 3
Here is an optimized crystal structure of ZnCd2Se2 from the Alexandria database. Energies are from PBE-GGA.

The polymorph energy (0 for the lowest one) comes out at 0.0000 eV per atom.

The structure belongs to space group I4/mmm (No. 139); the cell edges are 4.575, 4.575 and 13.944 Å and the angles 90.00°, 90.00° and 90.00°. The distinct sites, in fractional coordinates, are Zn at (0.000, 0.000, 0.000), Cd at (0.000, 0.500, 0.250) and Se at (0.000, 0.000, 0.361).

No. 4
Here is an optimized crystal structure of ZnCdSe2 from the Alexandria database. Energies are from PBE-GGA.

The structure belongs to space group R3m (No. 160, hexagonal axes); the cell edges are 4.2091, 4.2091 and 20.8030 Å and the angles 90.00°, 90.00° and 120.00°. The distinct sites, in fractional coordinates, are Zn at (0.0000, 0.0000, 0.0000), Cd at (0.0000, 0.0000, 0.4980), Se at (0.0000, 0.0000, 0.3695) and Se at (0.0000, 0.0000, 0.8810).

No. 5
Here is an optimized crystal structure of ZnCdSe2 from the Alexandria database. Energies are from PBE-GGA.

The structure belongs to space group C2/c (No. 15); the cell edges are 9.407, 12.687 and 13.193 Å and the angles 90.00°, 94.10° and 90.00°. The distinct sites, in fractional coordinates, are Zn at (0.143, 0.180, 0.373), Zn at (0.145, 0.404, 0.161), Cd at (0.019, 0.084, 0.604), Cd at (0.190, 0.356, 0.877), Se at (0.000, 0.071, 0.250), Se at (0.000, 0.473, 0.750), Se at (0.060, 0.259, 0.040), Se at (0.200, 0.207, 0.719) and Se at (0.228, 0.013, 0.472).

No. 6
Here is an optimized crystal structure of ZnCdSe2 from the Alexandria database. Energies are from PBE-GGA.

The structure belongs to space group Pbcn (No. 60); the cell edges are 5.646, 11.960 and 6.074 Å and the angles 90.00°, 90.00° and 90.00°. The distinct sites, in fractional coordinates, are Zn at (0.000, 0.244, 0.250), Cd at (0.000, 0.451, 0.750) and Se at (0.220, 0.131, 0.546).

No. 7
Here is an optimized crystal structure of ZnCdSe2 from the Alexandria database. Energies are from PBE-GGA.

The structure belongs to space group Cmmm (No. 65); the cell edges are 6.091, 7.414 and 3.706 Å and the angles 90.00°, 90.00° and 90.00°. The distinct sites, in fractional coordinates, are Zn at (0.000, 0.000, 0.000), Cd at (0.000, 0.500, 0.000) and Se at (0.250, 0.250, 0.500).

No. 8
Here is an optimized crystal structure of ZnCdSe2 from the Alexandria database. Energies are from PBE-GGA.

The structure belongs to space group P3m1 (No. 156); the cell edges are 4.1350, 4.1350 and 6.6980 Å and the angles 90.00°, 90.00° and 120.00°. The distinct sites, in fractional coordinates, are Zn at (0.0000, 0.0000, 0.0000), Cd at (0.6667, 0.3333, 0.5339), Se at (0.0000, 0.0000, 0.3667) and Se at (0.3333, 0.6667, 0.8632).

no.,uncorrected formation energy (meV per atom)
1,-445
2,-630
3,-172
4,-646
5,-507
6,-503
7,49
8,-538